Entry from Alexandria via LeMat-Bulk: crystalline InFe2F at its relaxed geometry (PBE+U).

a b c (Å): 6.7369 6.7369 5.7746
angles (deg): 54.32 54.32 90.00
Each line ends with the local moment (μB).
Sites, in units of the cell vectors:
1 F 0.5000 0.5000 0.0000  0.06
2 F 0.2500 0.7500 0.5000  0.06
3 Fe 0.5373 0.1250 0.2500  3.65
4 Fe 0.2127 0.6250 0.2500  3.66
5 Fe 0.3750 0.4627 0.7500  3.64
6 Fe 0.8750 0.7873 0.7500  3.66
7 In 0.0000 0.0000 0.0000  -0.07
8 In 0.7500 0.2500 0.5000  -0.07

Values from the calculation:
Total DFT energy (no corrections) in eV per atom: -4.090
Space group: I-42d, No. 122
Total magnetization in μB/f.u.: 7.3
Energy relative to the lowest polymorph listed for this composition in meV per atom: 0